Ba2LaReN after structural relaxation. Source: Alexandria via LeMat-Bulk, functional PBE.

DOS(E_F) = 5.0 states/eV/f.u.
crystal system = tetragonal
E_form (uncorrected) = 1784 meV/atom

The structure in POSCAR format:
```
Ba2LaReN
1.0
6.491 0.000 0.000
0.000 6.491 0.000
0.000 0.000 4.720
Ba La Re N
2 1 1 1
direct
0.000 0.500 0.000
0.500 0.000 0.000
0.000 0.000 0.000
0.000 0.000 0.500
0.500 0.500 0.500
```

---

BaLa2RuN4 after structural relaxation. Source: Alexandria via LeMat-Bulk, functional PBE.

DOS(E_F) = 4.7 states/eV/f.u.
crystal system = orthorhombic
E_form (uncorrected) = -736 meV/atom

The structure in POSCAR format:
```
BaLa2RuN4
1.0
1.829 -6.351 0.000
1.829 6.351 0.000
0.000 0.000 12.677
Ba La Ru N
2 4 2 8
direct
0.075 0.925 0.750
0.925 0.075 0.250
0.369 0.631 0.542
0.369 0.631 0.958
0.631 0.369 0.042
0.631 0.369 0.458
0.187 0.813 0.250
0.813 0.187 0.750
0.000 0.000 0.000
0.000 0.000 0.500
0.256 0.744 0.118
0.256 0.744 0.382
0.390 0.610 0.750
0.610 0.390 0.250
0.744 0.256 0.618
0.744 0.256 0.882
```

---

Ba2La4Sb3N2 after structural relaxation. Source: Alexandria via LeMat-Bulk, functional PBE.

DOS(E_F) = 4.1 states/eV/f.u.
crystal system = tetragonal
E_form (uncorrected) = -1178 meV/atom

The structure in POSCAR format:
```
Ba2La4Sb3N2
1.0
-2.514 2.514 13.763
2.514 -2.514 13.763
2.514 2.514 -13.763
Ba La Sb N
2 4 3 2
direct
0.195 0.195 0.000
0.805 0.805 0.000
0.082 0.582 0.500
0.418 0.918 0.500
0.582 0.082 0.500
0.918 0.418 0.500
0.332 0.332 0.000
0.500 0.500 0.000
0.668 0.668 0.000
0.094 0.094 0.000
0.906 0.906 0.000
```

---

BaLa2SnN4 after structural relaxation. Source: Alexandria via LeMat-Bulk, functional PBE.

crystal system = orthorhombic
E_form (uncorrected) = -776 meV/atom

The structure in POSCAR format:
```
BaLa2SnN4
1.0
1.853 -6.468 0.000
1.853 6.468 0.000
0.000 0.000 12.779
Ba La Sn N
2 4 2 8
direct
0.097 0.903 0.750
0.903 0.097 0.250
0.371 0.629 0.535
0.371 0.629 0.965
0.629 0.371 0.035
0.629 0.371 0.465
0.171 0.829 0.250
0.829 0.171 0.750
0.000 0.000 0.000
0.000 0.000 0.500
0.261 0.739 0.117
0.261 0.739 0.383
0.423 0.577 0.750
0.577 0.423 0.250
0.739 0.261 0.617
0.739 0.261 0.883
```

---

BaLaTaN3 after structural relaxation. Source: Alexandria via LeMat-Bulk, functional PBE.

crystal system = monoclinic
E_form (uncorrected) = -1001 meV/atom

The structure in POSCAR format:
```
BaLaTaN3
1.0
7.046 -2.068 0.000
7.046 2.068 0.000
-2.114 0.000 7.537
Ba La Ta N
2 2 2 6
direct
0.147 0.147 0.074
0.853 0.853 0.926
0.157 0.157 0.581
0.843 0.843 0.419
0.498 0.498 0.699
0.502 0.502 0.301
0.004 0.004 0.310
0.345 0.345 0.657
0.354 0.354 0.198
0.646 0.646 0.802
0.655 0.655 0.343
0.996 0.996 0.690
```

---

Ba2LaTaN4 after structural relaxation. Source: Alexandria via LeMat-Bulk, functional PBE.

DOS(E_F) = 2.3 states/eV/f.u.
crystal system = orthorhombic
E_form (uncorrected) = -761 meV/atom

The structure in POSCAR format:
```
Ba2LaTaN4
1.0
-3.544 3.734 5.271
3.544 -3.734 5.271
3.544 3.734 -5.271
Ba La Ta N
4 2 2 8
direct
0.000 0.000 0.000
0.500 0.000 0.000
0.500 0.000 0.500
0.500 0.500 0.500
0.000 0.500 0.500
0.500 0.500 0.000
0.000 0.000 0.500
0.000 0.500 0.000
0.191 0.745 0.447
0.201 0.221 0.520
0.201 0.681 0.980
0.202 0.255 0.947
0.798 0.745 0.053
0.799 0.319 0.020
0.799 0.779 0.480
0.809 0.255 0.553
```

---

BaLa2TcN4 after structural relaxation. Source: Alexandria via LeMat-Bulk, functional PBE.

DOS(E_F) = 3.4 states/eV/f.u.
crystal system = orthorhombic
E_form (uncorrected) = -839 meV/atom

The structure in POSCAR format:
```
BaLa2TcN4
1.0
1.809 -6.480 0.000
1.809 6.480 0.000
0.000 0.000 12.713
Ba La Tc N
2 4 2 8
direct
0.063 0.937 0.750
0.937 0.063 0.250
0.371 0.629 0.541
0.371 0.629 0.959
0.629 0.371 0.041
0.629 0.371 0.459
0.193 0.807 0.250
0.807 0.193 0.750
0.000 0.000 0.000
0.000 0.000 0.500
0.257 0.743 0.119
0.257 0.743 0.381
0.391 0.609 0.750
0.609 0.391 0.250
0.743 0.257 0.619
0.743 0.257 0.881
```

---

Ba2LaTcN4 after structural relaxation. Source: Alexandria via LeMat-Bulk, functional PBE.

DOS(E_F) = 4.3 states/eV/f.u.
crystal system = orthorhombic
E_form (uncorrected) = -624 meV/atom

The structure in POSCAR format:
```
Ba2LaTcN4
1.0
7.901 0.000 0.000
0.000 7.657 0.000
0.000 0.000 5.680
Ba La Tc N
4 2 2 8
direct
0.243 0.150 0.000
0.257 0.850 0.500
0.743 0.850 0.500
0.757 0.150 0.000
0.000 0.375 0.497
0.500 0.625 0.997
0.000 0.652 0.066
0.500 0.348 0.566
0.000 0.403 0.037
0.000 0.662 0.398
0.204 0.756 0.982
0.296 0.244 0.482
0.500 0.338 0.898
0.500 0.597 0.537
0.704 0.244 0.482
0.796 0.756 0.982
```

---

Ba3LaTc2N6 after structural relaxation. Source: Alexandria via LeMat-Bulk, functional PBE.

DOS(E_F) = 5.4 states/eV/f.u.
crystal system = trigonal
E_form (uncorrected) = -681 meV/atom

The structure in POSCAR format:
```
Ba3LaTc2N6
1.0
6.361 0.000 0.000
-3.181 5.509 0.000
0.000 0.000 7.457
Ba La Tc N
3 1 2 6
direct
0.000 0.000 0.000
0.333 0.667 0.716
0.667 0.333 0.284
0.000 0.000 0.500
0.333 0.667 0.238
0.667 0.333 0.762
0.172 0.344 0.283
0.172 0.828 0.283
0.344 0.172 0.717
0.656 0.828 0.283
0.828 0.172 0.717
0.828 0.656 0.717
```

---

BaLaTcN3 after structural relaxation. Source: Alexandria via LeMat-Bulk, functional PBE.

DOS(E_F) = 3.5 states/eV/f.u.
crystal system = hexagonal
E_form (uncorrected) = -738 meV/atom

The structure in POSCAR format:
```
BaLaTcN3
1.0
6.283 0.000 0.000
-3.141 5.441 0.000
0.000 0.000 7.155
Ba La Tc N
2 2 2 6
direct
0.333 0.667 0.250
0.667 0.333 0.750
0.000 0.000 0.000
0.000 0.000 0.500
0.333 0.667 0.750
0.667 0.333 0.250
0.164 0.329 0.750
0.164 0.836 0.750
0.329 0.164 0.250
0.671 0.836 0.750
0.836 0.164 0.250
0.836 0.671 0.250
```

---

BaLaTcN4 after structural relaxation. Source: Alexandria via LeMat-Bulk, functional PBE.

DOS(E_F) = 0.0 states/eV/f.u.
crystal system = monoclinic
E_form (uncorrected) = -781 meV/atom

The structure in POSCAR format:
```
BaLaTcN4
1.0
6.211 0.000 0.000
0.000 5.941 0.000
-2.162 0.000 7.207
Ba La Tc N
2 2 2 8
direct
0.216 0.250 0.425
0.784 0.750 0.575
0.282 0.250 0.947
0.718 0.750 0.053
0.257 0.750 0.178
0.743 0.250 0.822
0.071 0.750 0.328
0.075 0.750 0.944
0.446 0.507 0.212
0.446 0.993 0.212
0.554 0.007 0.788
0.554 0.493 0.788
0.925 0.250 0.056
0.929 0.250 0.672
```

---

BaLa2TiN4 after structural relaxation. Source: Alexandria via LeMat-Bulk, functional PBE.

crystal system = orthorhombic
E_form (uncorrected) = -1272 meV/atom

The structure in POSCAR format:
```
BaLa2TiN4
1.0
1.845 -6.403 0.000
1.845 6.403 0.000
0.000 0.000 12.520
Ba La Ti N
2 4 2 8
direct
0.102 0.898 0.750
0.898 0.102 0.250
0.371 0.629 0.540
0.371 0.629 0.960
0.629 0.371 0.040
0.629 0.371 0.460
0.173 0.827 0.250
0.827 0.173 0.750
0.000 0.000 0.000
0.000 0.000 0.500
0.258 0.742 0.127
0.258 0.742 0.373
0.398 0.602 0.750
0.602 0.398 0.250
0.742 0.258 0.627
0.742 0.258 0.873
```

---

BaLa2TlN after structural relaxation. Source: Alexandria via LeMat-Bulk, functional PBE.

DOS(E_F) = 4.6 states/eV/f.u.
crystal system = tetragonal
E_form (uncorrected) = -636 meV/atom

The structure in POSCAR format:
```
BaLa2TlN
1.0
5.142 0.000 0.000
0.000 5.142 0.000
0.000 0.000 5.609
Ba La Tl N
1 2 1 1
direct
0.000 0.000 0.000
0.000 0.500 0.500
0.500 0.000 0.500
0.500 0.500 0.000
0.000 0.000 0.500
```

---

Ba3La2UN6 after structural relaxation. Source: Alexandria via LeMat-Bulk, functional PBE.

DOS(E_F) = 0.2 states/eV/f.u.
crystal system = monoclinic
E_form (uncorrected) = -1031 meV/atom

The structure in POSCAR format:
```
Ba3La2UN6
1.0
3.255 -5.636 0.000
3.255 5.636 0.000
-2.100 0.000 6.403
Ba La U N
3 2 1 6
direct
0.000 0.000 0.000
0.335 0.665 0.000
0.665 0.335 0.000
0.166 0.834 0.500
0.834 0.166 0.500
0.500 0.500 0.500
0.149 0.436 0.313
0.269 0.269 0.705
0.436 0.149 0.313
0.564 0.851 0.687
0.731 0.731 0.295
0.851 0.564 0.687
```

---

Ba2LaUN4 after structural relaxation. Source: Alexandria via LeMat-Bulk, functional PBE.

DOS(E_F) = 3.2 states/eV/f.u.
crystal system = monoclinic
E_form (uncorrected) = -1061 meV/atom

The structure in POSCAR format:
```
Ba2LaUN4
1.0
6.403 0.000 0.000
0.000 3.704 0.000
-2.144 0.000 6.421
Ba La U N
2 1 1 4
direct
0.000 0.000 0.000
0.500 0.500 0.000
0.000 0.500 0.500
0.500 0.000 0.500
0.279 0.000 0.676
0.301 0.500 0.322
0.699 0.500 0.678
0.721 0.000 0.324
```

---

Ba2La3UN6 after structural relaxation. Source: Alexandria via LeMat-Bulk, functional PBE.

DOS(E_F) = 4.5 states/eV/f.u.
crystal system = monoclinic
E_form (uncorrected) = -1135 meV/atom

The structure in POSCAR format:
```
Ba2La3UN6
1.0
3.275 -5.897 0.000
3.275 5.897 0.000
-2.163 0.000 6.004
Ba La U N
2 3 1 6
direct
0.170 0.830 0.000
0.830 0.170 0.000
0.000 0.000 0.500
0.350 0.650 0.500
0.650 0.350 0.500
0.500 0.500 0.000
0.169 0.419 0.770
0.303 0.303 0.262
0.419 0.169 0.770
0.581 0.831 0.230
0.697 0.697 0.738
0.831 0.581 0.230
```

---

BaLa2U3N8 after structural relaxation. Source: Alexandria via LeMat-Bulk, functional PBE.

DOS(E_F) = 10.2 states/eV/f.u.
crystal system = trigonal
E_form (uncorrected) = -1328 meV/atom

The structure in POSCAR format:
```
BaLa2U3N8
1.0
3.535 2.041 5.964
-3.535 2.041 5.964
0.000 -4.082 5.964
Ba La U N
1 2 3 8
direct
0.000 0.000 0.000
0.236 0.236 0.236
0.623 0.623 0.623
0.120 0.624 0.624
0.624 0.120 0.624
0.624 0.624 0.120
0.375 0.375 0.818
0.375 0.818 0.375
0.394 0.394 0.394
0.452 0.864 0.864
0.818 0.375 0.375
0.847 0.847 0.847
0.864 0.452 0.864
0.864 0.864 0.452
```

---

BaLaVN3 after structural relaxation. Source: Alexandria via LeMat-Bulk, functional PBE.

DOS(E_F) = 0.4 states/eV/f.u.
crystal system = monoclinic
E_form (uncorrected) = -891 meV/atom

The structure in POSCAR format:
```
BaLaVN3
1.0
6.878 -1.979 0.000
6.878 1.979 0.000
-2.197 0.000 7.526
Ba La V N
2 2 2 6
direct
0.142 0.142 0.072
0.858 0.858 0.928
0.153 0.153 0.578
0.847 0.847 0.422
0.499 0.499 0.695
0.501 0.501 0.305
0.002 0.002 0.316
0.354 0.354 0.661
0.359 0.359 0.198
0.641 0.641 0.802
0.646 0.646 0.339
0.998 0.998 0.684
```

---

BaLa2VN4 after structural relaxation. Source: Alexandria via LeMat-Bulk, functional PBE.

DOS(E_F) = 3.5 states/eV/f.u.
crystal system = orthorhombic
E_form (uncorrected) = -1144 meV/atom

The structure in POSCAR format:
```
BaLa2VN4
1.0
1.795 -6.416 0.000
1.795 6.416 0.000
0.000 0.000 12.488
Ba La V N
2 4 2 8
direct
0.090 0.910 0.750
0.910 0.090 0.250
0.370 0.630 0.541
0.370 0.630 0.959
0.630 0.370 0.041
0.630 0.370 0.459
0.180 0.820 0.250
0.820 0.180 0.750
0.000 0.000 0.000
0.000 0.000 0.500
0.259 0.741 0.132
0.259 0.741 0.368
0.390 0.610 0.750
0.610 0.390 0.250
0.741 0.259 0.632
0.741 0.259 0.868
```

---

Ba2LaW2N6 after structural relaxation. Source: Alexandria via LeMat-Bulk, functional PBE.

DOS(E_F) = 4.3 states/eV/f.u.
crystal system = monoclinic
E_form (uncorrected) = -736 meV/atom

The structure in POSCAR format:
```
Ba2LaW2N6
1.0
5.543 -3.157 0.000
5.543 3.157 0.000
-3.891 0.000 6.248
Ba La W N
2 1 2 6
direct
0.208 0.208 0.174
0.792 0.792 0.826
0.000 0.000 0.500
0.464 0.464 0.788
0.536 0.536 0.212
0.201 0.681 0.211
0.267 0.267 0.610
0.319 0.799 0.789
0.681 0.201 0.211
0.733 0.733 0.390
0.799 0.319 0.789
```